Below is an optimized crystal structure of NaRePb2, with properties calculated at the PBE level.

The structure in POSCAR format:
```
NaRePb2
1.0
7.018 0.000 0.000
0.000 7.018 0.000
0.000 0.000 7.018
Na Re Pb
4 4 8
direct
0.000 0.000 0.000
0.000 0.500 0.500
0.500 0.000 0.500
0.500 0.500 0.000
0.000 0.000 0.500
0.000 0.500 0.000
0.500 0.000 0.000
0.500 0.500 0.500
0.250 0.250 0.250
0.250 0.250 0.750
0.250 0.750 0.250
0.250 0.750 0.750
0.750 0.250 0.250
0.750 0.250 0.750
0.750 0.750 0.250
0.750 0.750 0.750
```

Calculated values
calculated formation energy: 2.9 eV per formula unit
DOS(E_F): 0.832 states/eV per atom